Record 1
# LiCuAg2 (GGA-PBEsol, relaxed)
# * crystal system: tetragonal
data_LiCuAg2
_chemical_formula_sum 'Li2 Cu2 Ag4'
_symmetry_space_group_name_H-M 'I 4/m m m'
_symmetry_Int_Tables_number 139
_symmetry_space_group_name_Hall '-I 4 2'
_cell_length_a 4.046
_cell_length_b 4.046
_cell_length_c 7.000
_cell_angle_alpha 90.00
_cell_angle_beta 90.00
_cell_angle_gamma 90.00
loop_
_atom_site_label
_atom_site_type_symbol
_atom_site_fract_x
_atom_site_fract_y
_atom_site_fract_z
Li1 Li 0.000 0.000 0.000
Cu1 Cu 0.000 0.000 0.500
Ag1 Ag 0.000 0.500 0.250

Record 2
# RbHfCdRh2 (GGA-PBEsol, relaxed)
# * crystal system: tetragonal
data_RbHfCdRh2
_chemical_formula_sum 'Rb1 Hf1 Cd1 Rh2'
_symmetry_space_group_name_H-M 'P 4/m m m'
_symmetry_Int_Tables_number 123
_symmetry_space_group_name_Hall '-P 4 2'
_cell_length_a 5.018
_cell_length_b 5.018
_cell_length_c 5.063
_cell_angle_alpha 90.00
_cell_angle_beta 90.00
_cell_angle_gamma 90.00
loop_
_atom_site_label
_atom_site_type_symbol
_atom_site_fract_x
_atom_site_fract_y
_atom_site_fract_z
Rb1 Rb 0.000 0.000 0.000
Hf1 Hf 0.500 0.500 0.000
Cd1 Cd 0.500 0.500 0.500
Rh1 Rh 0.000 0.500 0.500

Number 1: calculated volume 114.6 Å³/cell, formation energy -0.063 eV per atom, VASP energy -26.352 eV for the cell shown. Number 2: calculated volume 127.5 Å³/cell, formation energy 1.444 eV per atom, VASP energy -21.785 eV for the cell shown.